Entry 1:
Na2MnAs2 | Alexandria via LeMat-Bulk | GGA-PBE | relaxed; offset from the most stable computed form = 0 meV/atom; calculated volume = 22.6 Å³ per atom; formation energy = -1.56 eV per formula unit; space-group type = Ibam (72)
1.0
0.7766 -4.9638 -2.7317
6.3219 0.4244 1.0260
-4.2101 -0.7655 6.1804
Na Mn As
4 2 4
direct
0.1477 0.9730 0.2954 Na
0.8523 0.0270 0.7046 Na
0.3523 0.6776 0.7046 Na
0.6477 0.3224 0.2954 Na
0.2500 0.5000 0.0000 Mn
0.7500 0.5000 0.0000 Mn
0.6049 0.8026 0.2097 As
0.3951 0.1974 0.7903 As
0.8951 0.5929 0.7903 As
0.1049 0.4071 0.2097 As

Entry 2:
NaMnNiAs2 | Alexandria via LeMat-Bulk | GGA-PBE | relaxed; calculated volume = 18.3 Å³ per atom; formation energy = -1.65 eV per formula unit; space-group type = I-4m2 (119)
1.0
-1.1666 -2.0987 3.0614
0.3322 -3.2552 -2.1049
6.1644 2.1021 1.3177
Na Mn Ni As
1 1 1 2
direct
0.0000 0.0000 0.0000 Na
0.7500 0.2500 0.5000 Mn
0.2500 0.7500 0.5000 Ni
0.6364 0.6364 0.2729 As
0.3636 0.3636 0.7271 As